Here is a relaxed structure of CsNbAs2Se from Alexandria via LeMat-Bulk. Energies are from PBE.

Calculated values
DFT total energy: -5.05 eV per atom
Formation energy from raw total energies: -0.3054 eV/atom
Total moment: 0.0 μB per cell

```
CsNbAs2Se
1.0
5.146 0.000 0.000
0.000 5.146 0.000
0.000 0.000 5.235
Cs Nb As Se
1 1 2 1
Cartesian
0.000 0.000 0.000
2.573 2.573 2.618
0.000 2.573 2.618
2.573 0.000 2.618
2.573 2.573 0.000
```